Here is a relaxed structure of YHg2Pb from OQMD. Energies are from GGA-PBE. Values from VASP.

```
&SYSTEM
  ibrav = 0, nat = 4, ntyp = 3
/
ATOMIC_SPECIES
Y 88.91 Y.upf
Hg 200.59 Hg.upf
Pb 207.20 Pb.upf
CELL_PARAMETERS angstrom
0.000 3.743 3.743
3.743 0.000 3.743
3.743 3.743 0.000
ATOMIC_POSITIONS crystal
Y 0.000 0.000 0.000
Hg 0.250 0.250 0.250
Hg 0.500 0.500 0.500
Pb 0.750 0.750 0.750
```

Its crystal system is cubic. The calculation puts the final energy at -2.8834 eV/atom.

Here is a relaxed structure of YHgPb from OQMD. Energies are from GGA-PBE. Values from VASP.

```
&SYSTEM
  ibrav = 0, nat = 3, ntyp = 3
/
ATOMIC_SPECIES
Y 88.91 Y.upf
Hg 200.59 Hg.upf
Pb 207.20 Pb.upf
CELL_PARAMETERS angstrom
0.000 3.543 3.543
3.543 0.000 3.543
3.543 3.543 0.000
ATOMIC_POSITIONS crystal
Y 0.000 0.000 0.000
Hg 0.750 0.750 0.750
Pb 0.500 0.500 0.500
```

Its crystal system is cubic. The calculation puts the final energy at -3.7367 eV/atom.

Here is a relaxed structure of ZnHg2Pb from OQMD. Energies are from GGA-PBE. Values from VASP.

```
&SYSTEM
  ibrav = 0, nat = 4, ntyp = 3
/
ATOMIC_SPECIES
Zn 65.41 Zn.upf
Hg 200.59 Hg.upf
Pb 207.20 Pb.upf
CELL_PARAMETERS angstrom
0.000 3.692 3.692
3.692 0.000 3.692
3.692 3.692 0.000
ATOMIC_POSITIONS crystal
Zn 0.000 0.000 0.000
Hg 0.250 0.250 0.250
Hg 0.500 0.500 0.500
Pb 0.750 0.750 0.750
```

Its crystal system is cubic. The calculation puts the final energy at -1.2329 eV/atom.

Here is a relaxed structure of Zr5HgPb3 from OQMD. Energies are from GGA-PBE. Values from VASP.

```
&SYSTEM
  ibrav = 0, nat = 18, ntyp = 3
/
ATOMIC_SPECIES
Zr 91.22 Zr.upf
Hg 200.59 Hg.upf
Pb 207.20 Pb.upf
CELL_PARAMETERS angstrom
8.907 0.000 0.000
-4.454 7.714 0.000
0.000 0.000 6.038
ATOMIC_POSITIONS crystal
Zr 0.000 0.280 0.250
Zr 0.000 0.720 0.750
Zr 0.280 0.000 0.250
Zr 0.280 0.280 0.750
Zr 0.333 0.667 0.000
Zr 0.333 0.667 0.500
Zr 0.667 0.333 0.000
Zr 0.667 0.333 0.500
Zr 0.720 0.000 0.750
Zr 0.720 0.720 0.250
Hg 0.000 0.000 0.000
Hg 0.000 0.000 0.500
Pb 0.000 0.381 0.750
Pb 0.000 0.619 0.250
Pb 0.381 0.000 0.750
Pb 0.381 0.381 0.250
Pb 0.619 0.000 0.250
Pb 0.619 0.619 0.750
```

Its crystal system is hexagonal. The calculation puts the final energy at -6.2935 eV/atom.

Here is a relaxed structure of ZrHgPb from OQMD. Energies are from GGA-PBE. Values from VASP.

```
&SYSTEM
  ibrav = 0, nat = 3, ntyp = 3
/
ATOMIC_SPECIES
Zr 91.22 Zr.upf
Hg 200.59 Hg.upf
Pb 207.20 Pb.upf
CELL_PARAMETERS angstrom
0.000 3.483 3.483
3.483 0.000 3.483
3.483 3.483 0.000
ATOMIC_POSITIONS crystal
Zr 0.000 0.000 0.000
Hg 0.750 0.750 0.750
Pb 0.250 0.250 0.250
```

Its crystal system is cubic. The calculation puts the final energy at -4.0076 eV/atom. Its energy relative to the lowest polymorph listed for this composition is 0 meV/atom.

Here is a relaxed structure of ZrHgPb from OQMD. Energies are from GGA-PBE. Values from VASP.

```
&SYSTEM
  ibrav = 0, nat = 3, ntyp = 3
/
ATOMIC_SPECIES
Zr 91.22 Zr.upf
Hg 200.59 Hg.upf
Pb 207.20 Pb.upf
CELL_PARAMETERS angstrom
0.000 3.448 3.448
3.448 0.000 3.448
3.448 3.448 0.000
ATOMIC_POSITIONS crystal
Zr 0.000 0.000 0.000
Hg 0.750 0.750 0.750
Pb 0.500 0.500 0.500
```

Its crystal system is cubic. The calculation puts the final energy at -3.8131 eV/atom. Its energy relative to the lowest polymorph listed for this composition is 194 meV/atom.

Here is a relaxed structure of HgPd2 from OQMD. Energies are from GGA-PBE. Values from VASP.

```
&SYSTEM
  ibrav = 0, nat = 3, ntyp = 2
/
ATOMIC_SPECIES
Hg 200.59 Hg.upf
Pd 106.42 Pd.upf
CELL_PARAMETERS angstrom
-1.710 1.710 4.378
1.710 -1.710 4.378
1.710 1.710 -4.378
ATOMIC_POSITIONS crystal
Hg 0.000 0.000 0.000
Pd 0.333 0.333 0.000
Pd 0.667 0.667 0.000
```

Its crystal system is tetragonal. The calculation puts the final energy at -3.6769 eV/atom.

Here is a relaxed structure of HgPd15 from OQMD. Energies are from GGA-PBE. Values from VASP.

```
&SYSTEM
  ibrav = 0, nat = 32, ntyp = 2
/
ATOMIC_SPECIES
Hg 200.59 Hg.upf
Pd 106.42 Pd.upf
CELL_PARAMETERS angstrom
3.912 0.000 0.000
0.000 3.913 0.000
0.000 0.000 43.876
ATOMIC_POSITIONS crystal
Hg 0.250 0.000 0.155
Hg 0.750 0.000 0.845
Pd 0.250 0.000 0.252
Pd 0.250 0.000 0.343
Pd 0.250 0.000 0.433
Pd 0.250 0.000 0.523
Pd 0.250 0.000 0.612
Pd 0.250 0.000 0.702
Pd 0.250 0.000 0.793
Pd 0.250 0.500 0.207
Pd 0.250 0.500 0.298
Pd 0.250 0.500 0.388
Pd 0.250 0.500 0.478
Pd 0.250 0.500 0.567
Pd 0.250 0.500 0.657
Pd 0.250 0.500 0.748
Pd 0.250 0.500 0.839
Pd 0.750 0.000 0.207
Pd 0.750 0.000 0.298
Pd 0.750 0.000 0.388
Pd 0.750 0.000 0.477
Pd 0.750 0.000 0.567
Pd 0.750 0.000 0.657
Pd 0.750 0.000 0.748
Pd 0.750 0.500 0.161
Pd 0.750 0.500 0.252
Pd 0.750 0.500 0.343
Pd 0.750 0.500 0.433
Pd 0.750 0.500 0.522
Pd 0.750 0.500 0.612
Pd 0.750 0.500 0.702
Pd 0.750 0.500 0.793
```

Its crystal system is orthorhombic. The calculation puts the final energy at -4.8551 eV/atom. Its energy relative to the lowest polymorph listed for this composition is 0 meV/atom.

Look up the final energy of the seventh one. -3.6769 eV/atom

The highest final energy belongs to which entry? ZnHg2Pb

What is the final energy in the fourth record? -6.2935 eV/atom